1.
Entry from Alexandria via LeMat-Bulk: an optimized crystal structure of TlZnSi2 (PBE).

```
TlZnSi2
1.0
4.2454 0.0000 0.0000
0.0000 4.2454 0.0000
0.0000 0.0000 18.5070
Tl Zn Si
4 4 8
Cartesian
0.0000 0.0000 0.0000
0.0000 2.1227 4.6267
2.1227 0.0000 13.8802
2.1227 2.1227 9.2535
0.0000 0.0000 9.2535
0.0000 2.1227 13.8802
2.1227 0.0000 4.6267
2.1227 2.1227 0.0000
0.6582 1.0614 11.5669
1.0614 2.7809 16.1936
1.0614 3.5872 6.9401
1.4645 1.0614 2.3134
2.7809 3.1841 2.3134
3.1841 0.6582 6.9401
3.1841 1.4645 16.1936
3.5872 3.1841 11.5669
```

Results
- density of states at the Fermi level (states/eV/cell) = 11.32
- space group = I-42d
- E_tot (eV per atom) = -3.170
- raw formation energy (eV per atom) = 0.4511



2.
Entry from Alexandria via LeMat-Bulk: an optimized crystal structure of CoMo2Ir (PBE).

```
CoMo2Ir
1.0
2.7655 0.0000 0.0000
0.0000 3.6749 0.0000
0.0000 0.0000 5.6354
Co Mo Ir
1 2 1
Cartesian
0.0000 0.0000 0.0000
0.0000 0.0000 2.8074
1.3828 1.8374 4.4764
1.3828 1.8374 1.4456
```

Results
- density of states at the Fermi level (states/eV/cell) = 4.16
- space group = Pmm2
- E_tot (eV per atom) = -9.404



3.
Entry from Alexandria via LeMat-Bulk: an optimized crystal structure of ZnP2Rh (PBE).

```
ZnP2Rh
1.0
5.1704 0.0000 0.0000
0.0000 7.0186 0.0000
-0.1753 0.0000 3.1521
Zn P Rh
2 4 2
Cartesian
0.0000 0.0000 0.0000
2.5852 3.5093 0.0000
1.2049 1.7546 1.5760
1.2049 5.2639 1.5760
3.7901 1.7546 1.5760
3.7901 5.2639 1.5760
0.0000 3.5093 0.0000
2.5852 0.0000 0.0000
```

Results
- density of states at the Fermi level (states/eV/cell) = 2.70
- space group = C2/m
- E_tot (eV per atom) = -4.810



4.
Entry from Alexandria via LeMat-Bulk: an optimized crystal structure of Li2NbZn2 (PBE).

```
Li2NbZn2
1.0
7.5546 0.0000 0.0000
0.0000 7.5546 0.0000
0.0000 0.0000 2.6297
Li Nb Zn
4 2 4
Cartesian
1.2366 2.5407 0.0000
2.5407 6.3181 0.0000
5.0139 1.2366 0.0000
6.3181 5.0139 0.0000
0.0000 0.0000 1.3149
3.7773 3.7773 1.3149
1.0288 4.8061 1.3149
2.7485 1.0288 1.3149
4.8061 6.5258 1.3149
6.5258 2.7485 1.3149
```

Results
- density of states at the Fermi level (states/eV/cell) = 5.38
- space group = P4/mbm
- E_tot (eV per atom) = -3.183